Density functional theory data (PBE-GGA) for Ac3TbY6 after structural relaxation.

abc: 10.1054 10.1054 12.6616
angles: 90.00 90.00 120.00
Space group R-3 (No. 148, hexagonal axes)
One atom of each set of equivalent atoms:
1 Ac 0.0000 0.0000 0.0000 (multiplicity 3)
2 Ac 0.0000 0.0000 0.2576 (multiplicity 6)
3 Tb 0.0000 0.0000 0.5000 (multiplicity 3)
4 Y 0.0015 0.6759 0.5766 (multiplicity 18)

Output
**DFT formation energy**: 0.3977 eV/atom
**Calculated total energy**: -5.176 eV per atom
**Fermi-level density of states**: 70.99 states/eV/cell
**Magnetic moment**: 0.01 μB/f.u.

=====

Density functional theory data (PBE-GGA) for AcTb2Y2 after structural relaxation.

abc: 5.8852 7.1801 16.7351
angles: 90.00 90.00 90.00
Space group Imma (No. 74)
One atom of each set of equivalent atoms:
1 Ac 0.0000 0.2500 0.1170 (multiplicity 4)
2 Tb 0.0000 0.0070 0.6903 (multiplicity 8)
3 Y 0.0000 0.2500 0.5020 (multiplicity 4)
4 Y 0.0000 0.2500 0.8794 (multiplicity 4)

Output
**DFT formation energy**: 0.1316 eV/atom
**Calculated total energy**: -5.128 eV per atom
**Fermi-level density of states**: 34.31 states/eV/cell
**Magnetic moment**: 0.00 μB/f.u.

=====

Density functional theory data (PBE-GGA) for Ac2Tb4Y5 after structural relaxation.

abc: 24.5281 3.5249 8.9099
angles: 90.00 95.95 90.00
Space group C2/m (No. 12)
One atom of each set of equivalent atoms:
1 Ac 0.0904 0.0000 0.2431 (multiplicity 4)
2 Tb 0.0487 0.0000 0.8579 (multiplicity 4)
3 Tb 0.1799 0.5000 0.9737 (multiplicity 4)
4 Y 0.0000 0.5000 0.5000 (multiplicity 2)
5 Y 0.1433 0.0000 0.6284 (multiplicity 4)
6 Y 0.2342 0.0000 0.3268 (multiplicity 4)

Output
**DFT formation energy**: 0.1793 eV/atom
**Calculated total energy**: -5.190 eV per atom
**Fermi-level density of states**: 47.11 states/eV/cell
**Magnetic moment**: 0.00 μB/f.u.

=====

Density functional theory data (PBE-GGA) for AcTb3Y3 after structural relaxation.

abc: 9.7338 9.7338 5.8038
angles: 90.00 90.00 120.00
Space group P6_3/m (No. 176)
One atom of each set of equivalent atoms:
1 Ac 0.3333 0.6667 0.2500 (multiplicity 2)
2 Tb 0.0954 0.4750 0.7500 (multiplicity 6)
3 Y 0.0451 0.2332 0.2500 (multiplicity 6)

Output
**DFT formation energy**: 0.0305 eV/atom
**Calculated total energy**: -5.311 eV per atom
**Fermi-level density of states**: 26.39 states/eV/cell
**Magnetic moment**: 0.00 μB/f.u.

=====

Density functional theory data (PBE-GGA) for Ac6TbY5 after structural relaxation.

abc: 5.4903 10.0883 16.4698
angles: 90.00 90.00 90.00
Space group Immm (No. 71)
One atom of each set of equivalent atoms:
1 Ac 0.0000 0.2502 0.0000 (multiplicity 4)
2 Ac 0.0000 0.2499 0.3336 (multiplicity 8)
3 Tb 0.0000 0.0000 0.5000 (multiplicity 2)
4 Y 0.0000 0.0000 0.1667 (multiplicity 4)
5 Y 0.0000 0.5000 0.1667 (multiplicity 4)
6 Y 0.0000 0.5000 0.5000 (multiplicity 2)

Output
**DFT formation energy**: 0.0408 eV/atom
**Calculated total energy**: -5.093 eV per atom
**Fermi-level density of states**: 30.89 states/eV/cell
**Magnetic moment**: 0.00 μB/f.u.

=====

Density functional theory data (PBE-GGA) for AcTb6Y8 after structural relaxation.

abc: 8.8243 8.8243 22.2259
angles: 90.00 90.00 120.00
Space group R-3 (No. 148, hexagonal axes)
One atom of each set of equivalent atoms:
1 Ac 0.0000 0.0000 0.0000 (multiplicity 3)
2 Tb 0.0102 0.2319 0.7134 (multiplicity 18)
3 Y 0.0000 0.0000 0.4191 (multiplicity 6)
4 Y 0.0602 0.8036 0.1355 (multiplicity 18)

Output
**DFT formation energy**: 0.1626 eV/atom
**Calculated total energy**: -5.411 eV per atom
**Fermi-level density of states**: 99.93 states/eV/cell
**Magnetic moment**: 0.00 μB/f.u.

=====

Density functional theory data (PBE-GGA) for AcTbY after structural relaxation.

abc: 5.0588 5.0588 8.9393
angles: 90.00 90.00 90.00
Space group P4/nmm (No. 129, origin choice 2)
One atom of each set of equivalent atoms:
1 Ac 0.2500 0.2500 0.1784 (multiplicity 2)
2 Tb 0.2500 0.2500 0.7752 (multiplicity 2)
3 Y 0.2500 0.7500 0.5000 (multiplicity 2)

Output
**DFT formation energy**: 0.2284 eV/atom
**Calculated total energy**: -4.839 eV per atom
**Fermi-level density of states**: 10.51 states/eV/cell
**Magnetic moment**: 0.00 μB/f.u.

=====

Density functional theory data (PBE-GGA) for Ac3TbY8 after structural relaxation.

abc: 6.5732 11.6862 11.8451
angles: 90.00 90.00 90.00
Space group Immm (No. 71)
One atom of each set of equivalent atoms:
1 Ac 0.0000 0.0000 0.0000 (multiplicity 2)
2 Ac 0.0000 0.2446 0.5000 (multiplicity 4)
3 Tb 0.0000 0.5000 0.0000 (multiplicity 2)
4 Y 0.0000 0.2516 0.1727 (multiplicity 8)
5 Y 0.2467 0.0000 0.2612 (multiplicity 8)

Output
**DFT formation energy**: 0.2578 eV/atom
**Calculated total energy**: -5.465 eV per atom
**Fermi-level density of states**: 37.50 states/eV/cell
**Magnetic moment**: 0.00 μB/f.u.

=====

Density functional theory data (PBE-GGA) for AcTb5Y7 after structural relaxation.

abc: 6.6776 11.3458 11.7400
angles: 90.00 90.00 90.00
Space group Imm2 (No. 44)
One atom of each set of equivalent atoms:
1 Ac 0.0000 0.0000 0.0000 (multiplicity 2)
2 Tb 0.0000 0.5000 0.2120 (multiplicity 2)
3 Tb 0.2367 0.2341 0.2052 (multiplicity 8)
4 Y 0.0000 0.0000 0.3892 (multiplicity 2)
5 Y 0.0000 0.0000 0.6894 (multiplicity 2)
6 Y 0.0000 0.3259 0.4553 (multiplicity 4)
7 Y 0.0000 0.3370 0.9566 (multiplicity 4)
8 Y 0.0000 0.5000 0.7093 (multiplicity 2)

Output
**DFT formation energy**: 0.2282 eV/atom
**Calculated total energy**: -5.349 eV per atom
**Fermi-level density of states**: 49.25 states/eV/cell
**Magnetic moment**: 0.00 μB/f.u.

=====

Density functional theory data (PBE-GGA) for AcTbY after structural relaxation.

abc: 3.7437 3.7437 15.4651
angles: 90.00 90.00 90.00
Space group I4mm (No. 107)
One atom of each set of equivalent atoms:
1 Ac 0.0000 0.0000 0.0000 (multiplicity 2)
2 Tb 0.0000 0.0000 0.6719 (multiplicity 2)
3 Y 0.0000 0.0000 0.3267 (multiplicity 2)

Output
**DFT formation energy**: 0.0548 eV/atom
**Calculated total energy**: -5.013 eV per atom
**Fermi-level density of states**: 8.48 states/eV/cell
**Magnetic moment**: 0.00 μB/f.u.